# 1
MgTi2O5: optimized geometry, PBEsol.

Summary:
energy relative to the lowest polymorph listed for this composition: 0.000 eV/atom

Unit cell a=3.7475 b=9.8585 c=9.8269 alpha=90.00 beta=90.00 gamma=90.00
Last column: nearest neighbours and their distance in Å.
Space group Cmc2_1 (No. 36)
Asymmetric unit:
Mg  0.0000  0.1436  0.0000  4 O 1.96-2.09
Ti  0.0000  0.1362  0.6220  5 O 1.87-2.04
Ti  0.0000  0.1855  0.3173  5 O 1.86-1.98
O  0.0000  0.0422  0.1869  2 Ti 1.87-1.91, 1 Mg 2.09
O  0.0000  0.0482  0.4473  2 Ti 1.86-1.92, 1 Mg 1.96
O  0.0000  0.2538  0.8025  3 Ti 1.97-2.12
O  0.0000  0.2934  0.4877  2 Mg 1.98, 2 Ti 1.98-2.04
O  0.0000  0.3181  0.1459  3 Ti 1.94-2.13

# 2
La2S3: optimized geometry, PBEsol.

Summary:
raw total energy: -6.994 eV/atom

Unit cell a=8.6237 b=8.6237 c=25.7797 alpha=90.00 beta=90.00 gamma=90.00
Last column: nearest neighbours and their distance in Å.
Space group I-42d (No. 122)
Asymmetric unit:
La  0.0000  0.0000  0.1655  8 S 2.88-3.04
La  0.1202  0.7500  0.6250  8 S 2.90-3.10
La  0.1384  0.7425  0.9608  7 S 2.86-3.04
S  0.0743  0.6733  0.1825  6 La 2.90-3.20
S  0.0748  0.6798  0.8542  5 La 2.86-3.04
S  0.0813  0.6666  0.5158  5 La 2.87-3.04, 1 S 3.20

# 3
Hg2SbAs: optimized geometry, PBEsol.

Summary:
energy relative to the lowest polymorph listed for this composition: 0.000 eV/atom

Unit cell a=6.7733 b=3.9260 c=7.8386 alpha=90.00 beta=107.34 gamma=90.00
Last column: nearest neighbours and their distance in Å.
Space group Cm (No. 8)
Asymmetric unit:
Hg  0.0000  0.0000  0.0000  3 Hg 2.94-2.96, 3 As 2.95-2.97
Hg  0.2495  0.0000  0.7479  3 Hg 2.94-2.96, 3 Sb 3.10-3.13
Sb  0.4899  0.0000  0.4633  3 As 2.75
As  0.2518  0.5000  0.2548  3 Sb 2.75, 3 Hg 2.95-2.97

# 4
CsBe3Ge: optimized geometry, PBEsol.

Summary:
formation enthalpy at 0 K: 2.5455 eV per atom

Unit cell a=4.9004 b=4.9004 c=4.9004 alpha=90.00 beta=90.00 gamma=90.00
Last column: nearest neighbours and their distance in Å.
Space group Pm-3m (No. 221)
Asymmetric unit:
Cs  0.0000  0.0000  0.0000  6 Be 2.45
Be  0.0000  0.0000  0.5000  2 Cs 2.45
Ge  0.5000  0.5000  0.5000  12 Be 3.47

# 5
Zr2InW: optimized geometry, PBEsol.

Summary:
formation enthalpy at 0 K: 0.0934 eV per atom

Unit cell a=4.1678 b=4.1678 c=9.0545 alpha=90.00 beta=90.00 gamma=90.00
Last column: nearest neighbours and their distance in Å.
Space group I-4m2 (No. 119)
Asymmetric unit:
Zr  0.0000  0.0000  0.0000  4 In 2.95, 4 Zr 3.08, 4 W 3.08
Zr  0.0000  0.5000  0.2500  4 W 2.95, 4 Zr 3.08, 4 In 3.08
In  0.0000  0.0000  0.5000  8 Zr 2.95-3.08, 4 W 3.08
W  0.0000  0.5000  0.7500  8 Zr 2.95-3.08, 4 In 3.08

# 6
Co2Re: optimized geometry, PBEsol.

Summary:
formation enthalpy at 0 K: 0.0041 eV per atom
energy relative to the lowest polymorph listed for this composition: 0.092 eV/atom

Unit cell a=6.4596 b=6.4596 c=6.4596 alpha=90.00 beta=90.00 gamma=90.00
Last column: nearest neighbours and their distance in Å.
Space group Fd-3m (No. 227, origin choice 2)
Asymmetric unit:
Co  0.0000  0.0000  0.0000  6 Co 2.28
Re  0.1250  0.1250  0.6250  12 Co 2.68, 4 Re 2.80

# 7
Be2Tl2Co: optimized geometry, PBEsol.

Summary:
formation enthalpy at 0 K: 0.6381 eV per atom

Unit cell a=3.0702 b=3.0702 c=16.1956 alpha=90.00 beta=90.00 gamma=90.00
Last column: nearest neighbours and their distance in Å.
Space group I4/mmm (No. 139)
Asymmetric unit:
Be  0.0000  0.5000  0.2500  4 Be 2.17
Tl  0.0000  0.0000  0.1036  4 Co 2.74, 4 Be 2.82, 4 Tl 3.07
Co  0.0000  0.0000  0.5000  8 Tl 2.74, 4 Co 3.07

# 8
Zr3InS: optimized geometry, PBEsol.

Summary:
raw total energy: -7.542 eV/atom

Unit cell a=4.7693 b=4.7693 c=4.7693 alpha=90.00 beta=90.00 gamma=90.00
Last column: nearest neighbours and their distance in Å.
Space group Pm-3m (No. 221)
Asymmetric unit:
Zr  0.0000  0.0000  0.5000  2 S 2.38
In  0.5000  0.5000  0.5000  12 Zr 3.37
S  0.0000  0.0000  0.0000  6 Zr 2.38

# 9
NiRhAu2: optimized geometry, PBEsol.

Summary:
formation enthalpy at 0 K: 0.1721 eV per atom
energy relative to the lowest polymorph listed for this composition: 0.082 eV/atom

Unit cell a=3.8767 b=3.8767 c=7.7542 alpha=90.00 beta=90.00 gamma=90.00
Last column: nearest neighbours and their distance in Å.
Space group I-4m2 (No. 119)
Asymmetric unit:
Ni  0.0000  0.0000  0.0000  8 Au 2.74, 4 Rh 2.74
Rh  0.0000  0.5000  0.2500  8 Au 2.74, 4 Ni 2.74
Au  0.0000  0.0000  0.5000  4 Ni 2.74, 4 Rh 2.74, 4 Au 2.74
Au  0.0000  0.5000  0.7500  4 Rh 2.74, 4 Ni 2.74, 4 Au 2.74

# 10
AgIrAu2: optimized geometry, PBEsol.

Summary:
formation enthalpy at 0 K: 0.3649 eV per atom
energy relative to the lowest polymorph listed for this composition: 0.090 eV/atom

Unit cell a=6.3621 b=6.3621 c=6.3621 alpha=90.00 beta=90.00 gamma=90.00
Last column: nearest neighbours and their distance in Å.
Space group Fm-3m (No. 225)
Asymmetric unit:
Ag  0.0000  0.0000  0.0000  8 Au 2.75
Ir  0.0000  0.0000  0.5000  8 Au 2.75
Au  0.2500  0.2500  0.2500  4 Ir 2.75, 4 Ag 2.75

# 11
Mg2AlCrOs: optimized geometry, PBEsol.

Summary:
formation enthalpy at 0 K: 0.9068 eV per atom

Unit cell a=4.9765 b=4.9765 c=4.4855 alpha=90.00 beta=90.00 gamma=90.00
Last column: nearest neighbours and their distance in Å.
Space group P4/mmm (No. 123)
Asymmetric unit:
Mg  0.0000  0.5000  0.0000  2 Os 2.49
Al  0.0000  0.0000  0.5000  8 Mg 3.35, 4 Cr 3.52
Cr  0.5000  0.5000  0.5000  2 Os 2.24
Os  0.5000  0.5000  0.0000  2 Cr 2.24, 4 Mg 2.49

# 12
Mn2TlOs: optimized geometry, PBEsol.

Summary:
formation enthalpy at 0 K: 0.6044 eV per atom
energy relative to the lowest polymorph listed for this composition: 0.000 eV/atom

Unit cell a=4.4116 b=4.4116 c=3.1064 alpha=90.00 beta=90.00 gamma=90.00
Last column: nearest neighbours and their distance in Å.
Space group P4/mmm (No. 123)
Asymmetric unit:
Mn  0.0000  0.5000  0.0000  4 Tl 2.70, 4 Os 2.70
Tl  0.0000  0.0000  0.5000  8 Mn 2.70
Os  0.5000  0.5000  0.5000  8 Mn 2.70

Number 1: density of states at the Fermi level 0.00 states/eV/f.u., calculated density 3.66 g/cm³. Number 2: density of states at the Fermi level 0.00 states/eV/f.u., calculated density 5.18 g/cm³. Number 3: density of states at the Fermi level 1.22 states/eV/f.u., calculated density 9.98 g/cm³. Number 4: density of states at the Fermi level 3.11 states/eV/f.u., calculated density 3.28 g/cm³. Number 5: density of states at the Fermi level 5.05 states/eV/f.u., calculated density 10.16 g/cm³. Number 6: density of states at the Fermi level 4.55 states/eV/f.u., calculated density 14.99 g/cm³. Number 7: density of states at the Fermi level 2.92 states/eV/f.u., calculated density 10.57 g/cm³. Number 8: density of states at the Fermi level 5.05 states/eV/f.u., calculated density 6.44 g/cm³. Number 9: density of states at the Fermi level 5.67 states/eV/f.u., calculated density 15.83 g/cm³. Number 10: density of states at the Fermi level 2.92 states/eV/f.u., calculated density 17.90 g/cm³. Number 11: density of states at the Fermi level 2.71 states/eV/f.u., calculated density 4.75 g/cm³. Number 12: density of states at the Fermi level 2.76 states/eV/f.u., calculated density 13.86 g/cm³.